! PBEsol CoB, relaxed; values from VASP
&SYSTEM
  ibrav = 0, nat = 8, ntyp = 2
/
ATOMIC_SPECIES
Co 58.93 Co.upf
B 10.81 B.upf
ATOMIC_POSITIONS crystal
Co 0.177 0.250 0.129
Co 0.323 0.750 0.629
Co 0.677 0.250 0.371
Co 0.823 0.750 0.871
B 0.033 0.250 0.627
B 0.467 0.750 0.127
B 0.533 0.250 0.873
B 0.967 0.750 0.373
CELL_PARAMETERS angstrom
5.074 0.000 0.000
0.000 3.049 0.000
0.000 0.000 3.883
! ΔH_f (0 K) in meV per atom: -498
! Crystal system: orthorhombic
! D(E_F) in states/eV/cell: 1.401
! Symmetry: No. 62
! V in Å³/atom: 7.510